[1]
# PBE MnW2Se, relaxed
data_MnW2Se
_chemical_formula_sum 'Mn2 W4 Se2'
_cell_length_a 3.9146
_cell_length_b 3.9146
_cell_length_c 8.0410
_cell_angle_alpha 90.00
_cell_angle_beta 90.00
_cell_angle_gamma 90.00
_space_group_name_H-M_alt 'I -4 m 2'
_space_group_IT_number 119
_space_group_name_Hall 'I -4 -2'
loop_
_atom_site_label
_atom_site_type_symbol
_atom_site_fract_x
_atom_site_fract_y
_atom_site_fract_z
_atom_site_occupancy
Mn1 Mn 0.0000 0.0000 0.0000 1
W1 W 0.0000 0.0000 0.5000 1
W2 W 0.0000 0.5000 0.7500 1
Se1 Se 0.0000 0.5000 0.2500 1
# Total energy   -8.99 eV/atom
# N(E_F)   1.25 states/eV/atom
# Total magnetic moment   2.9 μB/f.u.
# Formation energy from raw total energies   0.650 eV/atom

---

[2]
# PBE HoThCdAu, relaxed
data_HoThCdAu
_chemical_formula_sum 'Ho4 Th4 Cd4 Au4'
_cell_length_a 7.4553
_cell_length_b 7.4553
_cell_length_c 7.4553
_cell_angle_alpha 90.00
_cell_angle_beta 90.00
_cell_angle_gamma 90.00
_space_group_name_H-M_alt 'F -4 3 m'
_space_group_IT_number 216
_space_group_name_Hall 'F -4 2 3'
loop_
_atom_site_label
_atom_site_type_symbol
_atom_site_fract_x
_atom_site_fract_y
_atom_site_fract_z
_atom_site_occupancy
Ho1 Ho 0.0000 0.0000 0.0000 1
Th1 Th 0.0000 0.0000 0.5000 1
Cd1 Cd 0.2500 0.2500 0.7500 1
Au1 Au 0.2500 0.2500 0.2500 1
# Total energy   -4.43 eV/atom
# N(E_F)   1.04 states/eV/atom
# Energy relative to the elements   -0.3807 eV/atom
# Total magnetic moment   0.8 μB/f.u.